Compound: BaCuPt2
Source: the Alexandria database
Functional: GGA-PBE
Structure: relaxed

```
4
Lattice="4.9120 0.0000 0.0000 2.4560 4.2539 0.0000 2.4560 1.4180 4.0106" Properties=species:S:1:pos:R:3 pbc="T T T"
Ba 4.9120 2.8359 2.0053
Cu 2.4560 1.4180 1.0026
Pt 0.0000 0.0000 0.0000
Pt 7.3679 4.2539 3.0079
```

Properties
DOS at the Fermi energy in states/eV/cell: 2.3
Total magnetic moment in μB per formula unit: 0.0
Mass density in Mg/m³: 11.71
ΔE_f in eV/atom: 0.1094
E_tot in eV/atom: -4.4157